Record 1
# Sc4AgRu3, relaxed, DFT PBE-GGA
# calculated total energy	-180.57	eV per cell
# M_tot	0.00	Bohr magnetons per cell
# density of states at the Fermi level	11.42	states/eV/cell
# energy of formation from the pure elements	-4.2	eV/f.u.
data_Sc4AgRu3
_symmetry_space_group_name_H-M 'R -3 m'
_symmetry_Int_Tables_number 166
_symmetry_space_group_name_Hall '-R 3 2"'
_cell_length_a 4.6148
_cell_length_b 4.6148
_cell_length_c 22.4387
_cell_angle_alpha 90.00
_cell_angle_beta 90.00
_cell_angle_gamma 120.00
loop_
_atom_site_label
_atom_site_type_symbol
_atom_site_fract_x
_atom_site_fract_y
_atom_site_fract_z
_atom_site_occupancy
Sc1 Sc 0.0000 0.0000 0.1205 1
Sc2 Sc 0.0000 0.0000 0.3707 1
Ag1 Ag 0.0000 0.0000 0.5000 1
Ru1 Ru 0.0000 0.0000 0.0000 1
Ru2 Ru 0.0000 0.0000 0.2490 1

Record 2
# ScAg2Ru, relaxed, DFT PBE-GGA
# calculated total energy	-20.12	eV per cell
# M_tot	1.62	Bohr magnetons per cell
# density of states at the Fermi level	3.80	states/eV/cell
# energy of formation from the pure elements	1.2	eV/f.u.
data_ScAg2Ru
_symmetry_space_group_name_H-M 'P 4/m m m'
_symmetry_Int_Tables_number 123
_symmetry_space_group_name_Hall '-P 4 2'
_cell_length_a 2.968
_cell_length_b 2.968
_cell_length_c 8.096
_cell_angle_alpha 90.00
_cell_angle_beta 90.00
_cell_angle_gamma 90.00
loop_
_atom_site_label
_atom_site_type_symbol
_atom_site_fract_x
_atom_site_fract_y
_atom_site_fract_z
_atom_site_occupancy
Sc1 Sc 0.000 0.000 0.000 1
Ag1 Ag 0.500 0.500 0.259 1
Ru1 Ru 0.000 0.000 0.500 1

Record 3
# ScAg2Ru, relaxed, DFT PBE-GGA
# calculated total energy	-62.97	eV per cell
# M_tot	0.00	Bohr magnetons per cell
# density of states at the Fermi level	5.02	states/eV/cell
# energy of formation from the pure elements	0.3	eV/f.u.
data_ScAg2Ru
_symmetry_space_group_name_H-M 'R 3 m'
_symmetry_Int_Tables_number 160
_symmetry_space_group_name_Hall 'R 3 -2"'
_cell_length_a 3.0337
_cell_length_b 3.0337
_cell_length_c 27.1376
_cell_angle_alpha 90.00
_cell_angle_beta 90.00
_cell_angle_gamma 120.00
loop_
_atom_site_label
_atom_site_type_symbol
_atom_site_fract_x
_atom_site_fract_y
_atom_site_fract_z
_atom_site_occupancy
Sc1 Sc 0.0000 0.0000 0.0000 1
Ag1 Ag 0.0000 0.0000 0.2430 1
Ag2 Ag 0.0000 0.0000 0.4896 1
Ru1 Ru 0.0000 0.0000 0.7371 1

Please write out number 3 again, unchanged.
# ScAg2Ru, relaxed, DFT PBE-GGA
# calculated total energy	-62.97	eV per cell
# M_tot	0.00	Bohr magnetons per cell
# density of states at the Fermi level	5.02	states/eV/cell
# energy of formation from the pure elements	0.3	eV/f.u.
data_ScAg2Ru
_symmetry_space_group_name_H-M 'R 3 m'
_symmetry_Int_Tables_number 160
_symmetry_space_group_name_Hall 'R 3 -2"'
_cell_length_a 3.0337
_cell_length_b 3.0337
_cell_length_c 27.1376
_cell_angle_alpha 90.00
_cell_angle_beta 90.00
_cell_angle_gamma 120.00
loop_
_atom_site_label
_atom_site_type_symbol
_atom_site_fract_x
_atom_site_fract_y
_atom_site_fract_z
_atom_site_occupancy
Sc1 Sc 0.0000 0.0000 0.0000 1
Ag1 Ag 0.0000 0.0000 0.2430 1
Ag2 Ag 0.0000 0.0000 0.4896 1
Ru1 Ru 0.0000 0.0000 0.7371 1